CaScTl2: optimized geometry, PBEsol.

Calculated values
Volume = 105.2 Å³/cell
E_tot = -3.772 eV per atom

Geometry as extended XYZ:
```
4
Lattice="1.787 1.032 9.506 -1.787 1.032 9.506 0.000 -2.064 9.506" Properties=species:S:1:pos:R:3 pbc="T T T"
Ca 0.000 0.000 0.000
Sc 0.000 0.000 14.258
Tl 0.000 0.000 7.015
Tl 0.000 0.000 21.501
```